A plane-wave DFT calculation with PBE was carried out for an optimized crystal structure of NaHoInPt.

## Properties
DFT formation energy (eV per atom): -0.551

Geometry as POSCAR:
```
NaHoInPt
1.0
0.000 3.465 3.465
3.465 0.000 3.465
3.465 3.465 0.000
Na Ho In Pt
1 1 1 1
Direct
0.000 0.000 0.000
0.250 0.250 0.250
0.750 0.750 0.750
0.500 0.500 0.500
```

=====

A plane-wave DFT calculation with PBE was carried out for an optimized crystal structure of Na4Ho3InS8.

## Properties
E_form (uncorrected) (eV/atom): -1.5891

Geometry as POSCAR:
```
Na4Ho3InS8
1.0
3.936 2.273 6.706
-3.936 2.273 6.706
0.000 -4.545 6.706
Na Ho In S
4 3 1 8
Direct
0.000 0.000 0.000
0.000 0.500 0.500
0.500 0.000 0.500
0.500 0.500 0.000
0.000 0.000 0.500
0.000 0.500 0.000
0.500 0.000 0.000
0.500 0.500 0.500
0.242 0.242 0.242
0.247 0.739 0.739
0.261 0.261 0.753
0.261 0.753 0.261
0.739 0.247 0.739
0.739 0.739 0.247
0.753 0.261 0.261
0.758 0.758 0.758
```

=====

A plane-wave DFT calculation with PBE was carried out for an optimized crystal structure of Na3Ho3InS8.

## Properties
E_form (uncorrected) (eV/atom): -1.4807

Geometry as POSCAR:
```
Na3Ho3InS8
1.0
3.923 2.265 6.753
-3.923 2.265 6.753
0.000 -4.530 6.753
Na Ho In S
3 3 1 8
Direct
0.000 0.500 0.500
0.500 0.000 0.500
0.500 0.500 0.000
0.000 0.000 0.500
0.000 0.500 0.000
0.500 0.000 0.000
0.500 0.500 0.500
0.242 0.242 0.242
0.247 0.737 0.737
0.263 0.263 0.753
0.263 0.753 0.263
0.737 0.247 0.737
0.737 0.737 0.247
0.753 0.263 0.263
0.758 0.758 0.758
```

=====

A plane-wave DFT calculation with PBE was carried out for an optimized crystal structure of Na4HoIn3S8.

## Properties
E_form (uncorrected) (eV/atom): -1.1010

Geometry as POSCAR:
```
Na4HoIn3S8
1.0
6.713 -3.876 0.000
6.713 3.876 0.000
-4.475 0.000 6.730
Na Ho In S
4 1 3 8
Direct
0.000 0.000 0.000
0.000 0.500 0.000
0.500 0.000 0.000
0.500 0.500 0.000
0.000 0.000 0.500
0.000 0.500 0.500
0.500 0.000 0.500
0.500 0.500 0.500
0.244 0.244 0.724
0.245 0.737 0.726
0.262 0.262 0.286
0.263 0.755 0.274
0.737 0.245 0.726
0.738 0.738 0.714
0.755 0.263 0.274
0.756 0.756 0.276
```

=====

Let's list spin magnetization in order: 0.0; 0.0; 0.0; 0.0 μB per formula unit.
Let's list density in order: 9.94; 4.42; 4.31; 4.07 g cm⁻³.